1 | An optimized crystal structure of HoTmCuSi, computed with PBE.

Magnetic moment = 0.000 μB/atom

```
HoTmCuSi
1.0
4.0473 0.0000 0.0000
0.0000 4.0184 0.0000
0.0000 0.0000 10.5817
Ho Tm Cu Si
2 2 2 2
Cartesian
0.0000 0.0000 0.0000
0.0000 2.0092 5.2908
2.0236 0.0000 2.9674
2.0236 2.0092 8.2583
2.0236 0.0000 6.0768
2.0236 2.0092 0.7860
0.0000 0.0000 7.5599
0.0000 2.0092 2.2691
```


2 | An optimized crystal structure of HoTmCuSi, computed with PBE.

Magnetic moment = 0.000 μB/atom

```
HoTmCuSi
1.0
6.9041 0.0000 0.0000
0.0000 6.9041 0.0000
0.0000 0.0000 6.9041
Ho Tm Cu Si
4 4 4 4
Cartesian
0.0000 0.0000 0.0000
0.0000 3.4520 3.4520
3.4520 0.0000 3.4520
3.4520 3.4520 0.0000
0.0000 0.0000 3.4520
0.0000 3.4520 0.0000
3.4520 0.0000 0.0000
3.4520 3.4520 3.4520
1.7260 1.7260 1.7260
1.7260 5.1780 5.1780
5.1780 1.7260 5.1780
5.1780 5.1780 1.7260
1.7260 1.7260 5.1780
1.7260 5.1780 1.7260
5.1780 1.7260 1.7260
5.1780 5.1780 5.1780
```


What are the relative energies? In kJ/mol of atoms: 1 0.0; 2 10.9.


1 | An optimized crystal structure of YHoCuSi, computed with PBE.

Magnetic moment = 0.000 μB/atom

```
YHoCuSi
1.0
4.0822 0.0000 0.0000
0.0000 4.0580 0.0000
0.0000 0.0000 10.6523
Y Ho Cu Si
2 2 2 2
Cartesian
0.0000 0.0000 0.0000
0.0000 2.0290 5.3261
2.0411 0.0000 2.9827
2.0411 2.0290 8.3089
2.0411 0.0000 6.1280
2.0411 2.0290 0.8019
0.0000 0.0000 7.5989
0.0000 2.0290 2.2728
```


2 | An optimized crystal structure of YHoCuSi, computed with PBE.

Magnetic moment = 0.000 μB/atom

```
YHoCuSi
1.0
6.9641 0.0000 0.0000
0.0000 6.9641 0.0000
0.0000 0.0000 6.9641
Y Ho Cu Si
4 4 4 4
Cartesian
0.0000 0.0000 0.0000
0.0000 3.4821 3.4821
3.4821 0.0000 3.4821
3.4821 3.4821 0.0000
0.0000 0.0000 3.4821
0.0000 3.4821 0.0000
3.4821 0.0000 0.0000
3.4821 3.4821 3.4821
1.7410 1.7410 5.2231
1.7410 5.2231 1.7410
5.2231 1.7410 1.7410
5.2231 5.2231 5.2231
1.7410 1.7410 1.7410
1.7410 5.2231 5.2231
5.2231 1.7410 5.2231
5.2231 5.2231 1.7410
```


What are the relative energies? In kJ/mol of atoms: 1 0.0; 2 10.6.


1 | An optimized crystal structure of SmHoCu, computed with PBE.

Magnetic moment = 0.000 μB/atom

```
SmHoCu
1.0
3.4999 0.0000 0.0000
0.0000 3.4999 0.0000
0.0000 0.0000 12.4462
Sm Ho Cu
2 2 2
Cartesian
0.0000 0.0000 0.0000
1.7500 1.7500 6.2231
0.0000 0.0000 3.4646
1.7500 1.7500 9.6877
0.0000 0.0000 8.0913
1.7500 1.7500 1.8682
```


2 | An optimized crystal structure of SmHoCu, computed with PBE.

Magnetic moment = 0.000 μB/atom

```
SmHoCu
1.0
6.9039 0.0000 0.0000
0.0000 6.9039 0.0000
0.0000 0.0000 6.9039
Sm Ho Cu
4 4 4
Cartesian
0.0000 0.0000 0.0000
0.0000 3.4519 3.4519
3.4519 0.0000 3.4519
3.4519 3.4519 0.0000
0.0000 0.0000 3.4519
0.0000 3.4519 0.0000
3.4519 0.0000 0.0000
3.4519 3.4519 3.4519
1.7260 1.7260 5.1779
1.7260 5.1779 1.7260
5.1779 1.7260 1.7260
5.1779 5.1779 5.1779
```


What are the relative energies? In kJ/mol of atoms: 1 0.0; 2 18.7.


1 | An optimized crystal structure of SmHoCu, computed with PBE.

Magnetic moment = 0.000 μB/atom

```
SmHoCu
1.0
3.6063 0.0000 0.0000
-1.8032 3.1232 0.0000
0.0000 0.0000 7.0640
Sm Ho Cu
1 1 1
Cartesian
0.0000 0.0000 0.0000
0.0000 2.0821 4.0752
1.8032 1.0411 2.1094
```


2 | An optimized crystal structure of SmHoCu, computed with PBE.

Magnetic moment = 0.000 μB/atom

```
SmHoCu
1.0
3.4888 0.0000 0.0000
-1.7424 6.4628 0.0000
-0.0066 -1.9681 6.7556
Sm Ho Cu
2 2 2
Cartesian
0.0011 1.6933 0.4846
1.7387 2.8015 6.2710
-0.0026 0.6616 3.8316
1.7425 3.8332 2.9240
-0.0073 5.8735 1.7989
1.7472 -1.3787 4.9567
```


What are the relative energies? In kJ/mol of atoms: 1 15.5; 2 0.0.


1 | An optimized crystal structure of Sm2HoCu, computed with PBE.

Magnetic moment = 0.000 μB/atom

```
Sm2HoCu
1.0
3.5752 0.0000 0.0000
0.0000 3.5752 0.0000
0.0000 0.0000 8.6089
Sm Ho Cu
2 1 1
Cartesian
0.0000 0.0000 1.7396
0.0000 0.0000 6.8693
1.7876 1.7876 4.3044
1.7876 1.7876 0.0000
```


2 | An optimized crystal structure of Sm2HoCu, computed with PBE.

Magnetic moment = 0.000 μB/atom

```
Sm2HoCu
1.0
3.6142 0.0000 0.0000
-1.8071 3.1300 0.0000
0.0000 0.0000 30.1173
Sm Ho Cu
6 3 3
Cartesian
0.0000 0.0000 7.1195
0.0000 0.0000 22.9978
0.0000 2.0867 12.9587
0.0000 2.0867 27.1977
1.8071 1.0433 2.9196
1.8071 1.0433 17.1586
0.0000 0.0000 0.0000
0.0000 2.0867 20.0782
1.8071 1.0433 10.0391
0.0000 0.0000 15.0586
0.0000 2.0867 5.0196
1.8071 1.0433 25.0977
```


3 | An optimized crystal structure of Sm2HoCu, computed with PBE.

Magnetic moment = 0.000 μB/atom

```
Sm2HoCu
1.0
6.9386 0.0000 0.0000
0.0000 9.8492 0.0000
0.0000 0.0000 6.5228
Sm Ho Cu
8 4 4
Cartesian
1.3538 0.5855 1.1920
1.3538 4.3391 1.1920
2.1155 5.5101 4.4534
2.1155 9.2637 4.4534
4.8231 0.5855 2.0693
4.8231 4.3391 2.0693
5.5848 5.5101 5.3307
5.5848 9.2637 5.3307
0.1709 2.4623 4.1518
3.2984 7.3869 0.8905
3.6402 2.4623 5.6323
6.7677 7.3869 2.3709
0.6714 7.3869 6.2018
2.7979 2.4623 2.9404
4.1407 7.3869 3.5823
6.2672 2.4623 0.3209
```


What are the relative energies? In kJ/mol of atoms: 1 2.2; 2 12.7; 3 0.0.


1 | An optimized crystal structure of SmHo2Cu, computed with PBE.

Magnetic moment = 0.000 μB/atom

```
SmHo2Cu
1.0
4.9225 0.0000 0.0000
0.0000 11.6646 0.0000
0.0000 0.0000 7.5012
Sm Ho Cu
4 8 4
Cartesian
0.0000 0.5447 1.8753
0.0000 11.1199 5.6259
2.4613 5.2876 5.6259
2.4613 6.3770 1.8753
0.0000 4.0932 0.2344
0.0000 4.0932 3.5162
0.0000 7.5714 3.9850
0.0000 7.5714 7.2668
2.4613 1.7391 3.9850
2.4613 1.7391 7.2668
2.4613 9.9254 0.2344
2.4613 9.9254 3.5162
0.0000 2.3470 5.6259
0.0000 9.3176 1.8753
2.4613 3.4853 1.8753
2.4613 8.1793 5.6259
```


2 | An optimized crystal structure of SmHo2Cu, computed with PBE.

Magnetic moment = 0.000 μB/atom

```
SmHo2Cu
1.0
3.5977 0.0000 0.0000
-1.7988 3.1157 0.0000
0.0000 0.0000 29.6963
Sm Ho Cu
3 6 3
Cartesian
0.0000 0.0000 0.0000
0.0000 2.0771 19.7975
1.7988 1.0386 9.8988
0.0000 0.0000 6.9373
0.0000 0.0000 22.7590
0.0000 2.0771 12.8602
0.0000 2.0771 26.7348
1.7988 1.0386 2.9615
1.7988 1.0386 16.8360
0.0000 0.0000 14.8481
0.0000 2.0771 4.9494
1.7988 1.0386 24.7469
```


What are the relative energies? In kJ/mol of atoms: 1 0.0; 2 9.1.


1 | An optimized crystal structure of SmHo2Cu, computed with PBE.

Magnetic moment = 0.000 μB/atom

```
SmHo2Cu
1.0
3.6598 0.0000 0.0000
-1.8299 3.1694 0.0000
0.0000 0.0000 29.0386
Sm Ho Cu
3 6 3
Cartesian
0.0000 0.0000 0.0000
0.0000 2.1130 19.3591
1.8299 1.0565 9.6795
0.0000 0.0000 16.4055
0.0000 0.0000 22.2560
0.0000 2.1130 6.7259
0.0000 2.1130 12.5764
1.8299 1.0565 2.8969
1.8299 1.0565 26.0850
0.0000 0.0000 4.7943
0.0000 2.1130 24.1533
1.8299 1.0565 14.4738
```


2 | An optimized crystal structure of SmHo2Cu, computed with PBE.

Magnetic moment = 0.000 μB/atom

```
SmHo2Cu
1.0
3.4966 0.0000 0.0000
0.0000 3.4966 0.0000
0.0000 0.0000 8.6716
Sm Ho Cu
1 2 1
Cartesian
0.0000 0.0000 0.0000
1.7483 1.7483 2.6544
1.7483 1.7483 6.0172
0.0000 0.0000 4.3358
```


What are the relative energies? In kJ/mol of atoms: 1 12.6; 2 0.0.


1 | An optimized crystal structure of SmHo3Cu2, computed with PBE.

Magnetic moment = 0.000 μB/atom

```
SmHo3Cu2
1.0
-3.4077 6.7136 3.5772
3.4077 -6.7136 3.5772
3.4077 6.7136 -3.5772
Sm Ho Cu
2 6 4
Cartesian
0.0000 0.0000 0.0000
0.0000 0.0000 3.5772
3.4077 3.5415 -1.7886
3.4077 0.0000 1.7886
0.0000 3.1721 1.7886
3.4077 3.5415 1.7886
0.0000 6.7136 1.7886
0.0000 3.1721 5.3658
4.8208 1.9178 0.0000
1.4131 4.7958 0.0000
1.9946 1.9178 3.5772
-1.4131 4.7958 3.5772
```


2 | An optimized crystal structure of SmHo3Cu2, computed with PBE.

Magnetic moment = 0.000 μB/atom

```
SmHo3Cu2
1.0
3.4790 0.0000 0.0000
0.0000 3.4790 0.0000
0.0000 0.0000 12.1431
Sm Ho Cu
1 3 2
Cartesian
0.0000 0.0000 0.0000
1.7395 1.7395 2.6687
1.7395 1.7395 6.0715
1.7395 1.7395 9.4744
0.0000 0.0000 4.3522
0.0000 0.0000 7.7908
```


What are the relative energies? In kJ/mol of atoms: 1 17.7; 2 0.0.


1 | An optimized crystal structure of SmHo2Cu2, computed with PBE.

Magnetic moment = 0.000 μB/atom

```
SmHo2Cu2
1.0
4.9910 0.0000 0.0000
0.0000 4.6244 0.0000
-1.2525 0.0000 10.6361
Sm Ho Cu
2 4 4
Cartesian
0.6492 1.1561 2.5725
3.0892 3.4683 8.0637
0.6236 3.4683 5.2707
0.6101 1.1561 9.4295
3.1284 3.4683 1.2066
3.1148 1.1561 5.3655
0.6163 3.4683 0.0770
0.6247 1.1561 6.7483
3.1137 3.4683 3.8879
3.1222 1.1561 10.5591
```


2 | An optimized crystal structure of SmHo2Cu2, computed with PBE.

Magnetic moment = 0.000 μB/atom

```
SmHo2Cu2
1.0
3.5183 0.0000 0.0000
0.0000 5.1090 0.0000
-1.7581 0.0000 12.9672
Sm Ho Cu
2 4 4
Cartesian
0.0013 1.2772 3.6658
1.7590 3.8317 9.3014
0.0000 3.8317 1.2115
0.0013 3.8317 5.9770
1.7589 1.2772 6.9902
1.7603 1.2772 11.7557
0.0000 1.2772 9.3189
0.0008 3.8317 11.8392
1.7595 1.2772 1.1280
1.7603 3.8317 3.6483
```


What are the relative energies? In kJ/mol of atoms: 1 3.9; 2 0.0.


1 | An optimized crystal structure of SmHoCu2, computed with PBE.

Magnetic moment = 0.000 μB/atom

```
SmHoCu2
1.0
7.0029 0.0000 0.0000
0.0000 7.0029 0.0000
0.0000 0.0000 7.0029
Sm Ho Cu
4 4 8
Cartesian
0.0000 0.0000 0.0000
0.0000 3.5014 3.5014
3.5014 0.0000 3.5014
3.5014 3.5014 0.0000
0.0000 0.0000 3.5014
0.0000 3.5014 0.0000
3.5014 0.0000 0.0000
3.5014 3.5014 3.5014
1.7507 1.7507 1.7507
1.7507 1.7507 5.2522
1.7507 5.2522 1.7507
1.7507 5.2522 5.2522
5.2522 1.7507 1.7507
5.2522 1.7507 5.2522
5.2522 5.2522 1.7507
5.2522 5.2522 5.2522
```


2 | An optimized crystal structure of SmHoCu2, computed with PBE.

Magnetic moment = 0.000 μB/atom

```
SmHoCu2
1.0
3.4852 0.0000 0.0000
0.0000 3.4852 0.0000
0.0000 0.0000 7.0353
Sm Ho Cu
1 1 2
Cartesian
0.0000 0.0000 0.0000
0.0000 0.0000 3.5176
1.7426 1.7426 1.8723
1.7426 1.7426 5.1630
```


3 | An optimized crystal structure of SmHoCu2, computed with PBE.

Magnetic moment = 0.000 μB/atom

```
SmHoCu2
1.0
3.7911 0.0000 0.0000
0.0000 4.4863 0.0000
-1.8447 0.0000 5.1934
Sm Ho Cu
1 1 2
Cartesian
0.0000 0.0000 0.0000
1.9245 2.2432 2.2678
0.0392 0.0000 2.9784
0.0410 2.2432 4.4263
```


What are the relative energies? In kJ/mol of atoms: 1 1.6; 2 0.6; 3 0.0.


1 | An optimized crystal structure of SmHoZnCu, computed with PBE.

Magnetic moment = 0.000 μB/atom

```
SmHoZnCu
1.0
7.0990 0.0000 0.0000
0.0000 7.0990 0.0000
0.0000 0.0000 7.0990
Sm Ho Zn Cu
4 4 4 4
Cartesian
0.0000 0.0000 0.0000
0.0000 3.5495 3.5495
3.5495 0.0000 3.5495
3.5495 3.5495 0.0000
0.0000 0.0000 3.5495
0.0000 3.5495 0.0000
3.5495 0.0000 0.0000
3.5495 3.5495 3.5495
1.7748 1.7748 1.7748
1.7748 5.3243 5.3243
5.3243 1.7748 5.3243
5.3243 5.3243 1.7748
1.7748 1.7748 5.3243
1.7748 5.3243 1.7748
5.3243 1.7748 1.7748
5.3243 5.3243 5.3243
```


2 | An optimized crystal structure of SmHoZnCu, computed with PBE.

Magnetic moment = 0.000 μB/atom

```
SmHoZnCu
1.0
3.5387 0.0000 0.0000
0.0000 3.5387 0.0000
0.0000 0.0000 7.1356
Sm Ho Zn Cu
1 1 1 1
Cartesian
0.0000 0.0000 0.0000
0.0000 0.0000 3.4753
1.7693 1.7693 5.2318
1.7693 1.7693 1.8738
```


What are the relative energies? In kJ/mol of atoms: 1 0.7; 2 0.0.


1 | An optimized crystal structure of SrHo2Cu, computed with PBE.

Magnetic moment = 0.000 μB/atom

```
SrHo2Cu
1.0
3.5619 0.0000 0.0000
0.0000 3.5619 0.0000
0.0000 0.0000 9.5069
Sr Ho Cu
1 2 1
Cartesian
0.0000 0.0000 0.0000
1.7809 1.7809 3.1292
1.7809 1.7809 6.3776
0.0000 0.0000 4.7534
```


2 | An optimized crystal structure of SrHo2Cu, computed with PBE.

Magnetic moment = 0.000 μB/atom

```
SrHo2Cu
1.0
3.7739 0.0000 0.0000
-1.8869 3.2683 0.0000
0.0000 0.0000 32.2477
Sr Ho Cu
3 6 3
Cartesian
0.0000 0.0000 0.0000
0.0000 2.1788 21.4985
1.8869 1.0894 10.7492
0.0000 0.0000 3.6233
0.0000 0.0000 28.6244
0.0000 2.1788 17.8752
0.0000 2.1788 25.1217
1.8869 1.0894 7.1260
1.8869 1.0894 14.3725
0.0000 0.0000 16.1238
0.0000 2.1788 5.3746
1.8869 1.0894 26.8731
```


What are the relative energies? In kJ/mol of atoms: 1 0.0; 2 20.4.